# 1
A plane-wave DFT calculation with meta-GGA SCAN was carried out for a crystal of BaCaHg2 relaxed with PBEsol.

Cell: 3.909 5.557 5.557 Å, 90.00 90.00 90.00°
Fractional coordinates of all 4 atoms:
Ca1 0.500 0.500 0.500
Hg1 0.000 0.500 0.000
Ba1 0.500 0.000 0.000
Hg2 0.000 0.000 0.500

Properties
Magnetization ... 0.00 μB/cell
Space group ... No. 123

# 2
A plane-wave DFT calculation with meta-GGA SCAN was carried out for a crystal of Li2CoNi relaxed with PBEsol.

Cell: 2.443 2.443 8.583 Å, 81.82 81.82 60.00°
Site moments in Bohr magnetons follow the coordinates.
Fractional coordinates of all 4 atoms:
Co1 0.000 0.000 0.000  1.72
Li1 0.249 0.249 0.254  -0.02
Ni1 0.500 0.500 0.500  0.01
Li2 0.751 0.751 0.746  -0.02

Properties
Magnetization ... 1.58 μB/cell
Space group ... No. 166
Energy above the most stable polymorph in this dataset ... 0.000 eV/atom

# 3
A plane-wave DFT calculation with meta-GGA SCAN was carried out for a crystal of MgZr2Mn2 relaxed with PBEsol.

Cell: 3.109 3.109 9.605 Å, 99.31 99.31 90.00°
Fractional coordinates of all 5 atoms:
Mn1 0.750 0.250 0.500
Zr1 0.373 0.373 0.747
Mg1 0.000 0.000 0.000
Zr2 0.627 0.627 0.253
Mn2 0.250 0.750 0.500

Properties
Magnetization ... 0.00 μB/cell
Space group ... No. 139

# 4
A plane-wave DFT calculation with meta-GGA SCAN was carried out for a crystal of BeHg2Te relaxed with PBEsol.

Cell: 3.871 3.871 6.750 Å, 106.68 106.68 89.91°
Fractional coordinates of all 4 atoms:
Te1 0.500 0.500 0.000
Hg1 0.000 0.500 0.500
Be1 0.000 0.000 0.000
Hg2 0.500 0.000 0.500

Properties
Magnetization ... 0.00 μB/cell
Space group ... No. 69
Formation energy without anion corrections ... 293 meV/atom
Energy above the most stable polymorph in this dataset ... 0.091 eV/atom

# 5
A plane-wave DFT calculation with meta-GGA SCAN was carried out for a crystal of ZnCd2BRu relaxed with PBEsol.

Cell: 4.659 5.048 5.048 Å, 90.00 90.00 90.00°
Fractional coordinates of all 5 atoms:
Cd1 0.000 0.500 0.000
Cd2 0.000 0.000 0.500
Zn1 0.500 0.000 0.000
Ru1 0.000 0.000 0.000
B1 0.500 0.500 0.500

Properties
Magnetization ... 0.00 μB/cell
Space group ... No. 123

# 6
A plane-wave DFT calculation with meta-GGA SCAN was carried out for a crystal of Na3Ge relaxed with PBEsol.

Cell: 4.620 4.620 5.571 Å, 114.50 114.50 90.00°
Site moments in Bohr magnetons follow the coordinates.
Fractional coordinates of all 4 atoms:
Na1 0.500 0.500 0.000  0.00
Ge1 0.000 0.000 0.000  0.10
Na2 0.750 0.250 0.500  0.00
Na3 0.250 0.750 0.500  0.00

Properties
Magnetization ... 0.23 μB/cell
Space group ... No. 139

| no. | E_tot (eV for the cell shown) |
| --- | --- |
| 1 | -188.058 |
| 2 | -37.980 |
| 3 | -101.227 |
| 4 | -176.764 |
| 5 | -108.872 |
| 6 | -31.807 |